Record 1
First-principles (PBE) data for a geometry-optimized K2Rh3F8 structure, as listed in Alexandria via LeMat-Bulk.

The structure in CIF format:
```
data_K2Rh3F8
_chemical_formula_sum 'K4 Rh6 F16'
_cell_length_a 13.454
_cell_length_b 5.650
_cell_length_c 6.703
_cell_angle_alpha 90.00
_cell_angle_beta 114.35
_cell_angle_gamma 90.00
_space_group_name_H-M_alt 'C 1 2/m 1'
_space_group_IT_number 12
loop_
_space_group_symop_operation_xyz
'x,y,z'
'-x,-y,-z'
'-x,y,-z'
'x,-y,z'
'x+1/2,y+1/2,z'
'-x+1/2,-y+1/2,-z'
'-x+1/2,y+1/2,-z'
'x+1/2,-y+1/2,z'
loop_
_atom_site_label
_atom_site_type_symbol
_atom_site_fract_x
_atom_site_fract_y
_atom_site_fract_z
_atom_site_occupancy
K1 K 0.183 0.000 0.105 1
Rh1 Rh 0.000 0.294 0.500 1
Rh2 Rh 0.000 0.500 0.000 1
F1 F 0.051 0.262 0.249 1
F2 F 0.108 0.000 0.658 1
F3 F 0.149 0.500 0.000 1
```

Properties
D(E_F): 0.331 states/eV/atom
Raw formation energy: -1.65 eV/atom
Total magnetic moment: 1.05 μB per formula unit
Crystal system: monoclinic
Electronic total energy: -4.670 eV/atom

Record 2
First-principles (PBE) data for a geometry-optimized K2RhF6 structure, as listed in Alexandria via LeMat-Bulk.

The structure in CIF format:
```
data_K2RhF6
_chemical_formula_sum 'K2 Rh1 F6'
_cell_length_a 5.8427
_cell_length_b 5.8427
_cell_length_c 4.7540
_cell_angle_alpha 90.00
_cell_angle_beta 90.00
_cell_angle_gamma 120.00
_space_group_name_H-M_alt 'P -3 m 1'
_space_group_IT_number 164
_space_group_name_Hall '-P 3 2"'
loop_
_atom_site_label
_atom_site_type_symbol
_atom_site_fract_x
_atom_site_fract_y
_atom_site_fract_z
_atom_site_occupancy
K1 K 0.3333 0.6667 0.2122 1
Rh1 Rh 0.0000 0.0000 0.5000 1
F1 F 0.1613 0.3226 0.7260 1
```

Properties
D(E_F): 1.023 states/eV/atom
Raw formation energy: -2.21 eV/atom
Total magnetic moment: 1.01 μB per formula unit
Crystal system: trigonal
Electronic total energy: -4.519 eV/atom

Record 3
First-principles (PBE) data for a geometry-optimized K3RhF7 structure, as listed in Alexandria via LeMat-Bulk.

The structure in CIF format:
```
data_K3RhF7
_chemical_formula_sum 'K6 Rh2 F14'
_cell_length_a 8.521
_cell_length_b 8.267
_cell_length_c 6.672
_cell_angle_alpha 90.00
_cell_angle_beta 118.49
_cell_angle_gamma 90.00
_space_group_name_H-M_alt 'C 1 m 1'
_space_group_IT_number 8
loop_
_space_group_symop_operation_xyz
'x,y,z'
'x,-y,z'
'x+1/2,y+1/2,z'
'x+1/2,-y+1/2,z'
loop_
_atom_site_label
_atom_site_type_symbol
_atom_site_fract_x
_atom_site_fract_y
_atom_site_fract_z
_atom_site_occupancy
K1 K 0.000 0.000 0.000 1
K2 K 0.013 0.271 0.524 1
Rh1 Rh 0.001 0.500 0.017 1
F1 F 0.142 0.325 0.220 1
F2 F 0.148 0.500 0.862 1
F3 F 0.355 0.169 0.805 1
F4 F 0.357 0.000 0.179 1
F5 F 0.451 0.500 0.609 1
```

Properties
D(E_F): 0.824 states/eV/atom
Raw formation energy: -2.27 eV/atom
Total magnetic moment: 1.03 μB per formula unit
Crystal system: monoclinic
Electronic total energy: -4.425 eV/atom

Record 4
First-principles (PBE) data for a geometry-optimized KRhF2 structure, as listed in Alexandria via LeMat-Bulk.

The structure in CIF format:
```
data_KRhF2
_chemical_formula_sum 'K4 Rh4 F8'
_cell_length_a 6.228
_cell_length_b 6.228
_cell_length_c 6.228
_cell_angle_alpha 90.00
_cell_angle_beta 90.00
_cell_angle_gamma 90.00
_space_group_name_H-M_alt 'F m -3 m'
_space_group_IT_number 225
_space_group_name_Hall '-F 4 2 3'
loop_
_atom_site_label
_atom_site_type_symbol
_atom_site_fract_x
_atom_site_fract_y
_atom_site_fract_z
_atom_site_occupancy
K1 K 0.000 0.000 0.000 1
Rh1 Rh 0.000 0.000 0.500 1
F1 F 0.250 0.250 0.250 1
```

Properties
D(E_F): 0.869 states/eV/atom
Raw formation energy: -1.04 eV/atom
Total magnetic moment: 2.00 μB per formula unit
Relative energy among the computed polymorphs: 1.597 eV/f.u.
Crystal system: cubic
Electronic total energy: -4.090 eV/atom

Record 5
First-principles (PBE) data for a geometry-optimized KRh2F structure, as listed in Alexandria via LeMat-Bulk.

The structure in CIF format:
```
data_KRh2F
_chemical_formula_sum 'K4 Rh8 F4'
_cell_length_a 6.582
_cell_length_b 6.582
_cell_length_c 6.582
_cell_angle_alpha 90.00
_cell_angle_beta 90.00
_cell_angle_gamma 90.00
_space_group_name_H-M_alt 'F m -3 m'
_space_group_IT_number 225
_space_group_name_Hall '-F 4 2 3'
loop_
_atom_site_label
_atom_site_type_symbol
_atom_site_fract_x
_atom_site_fract_y
_atom_site_fract_z
_atom_site_occupancy
K1 K 0.000 0.000 0.000 1
Rh1 Rh 0.250 0.250 0.250 1
F1 F 0.000 0.000 0.500 1
```

Properties
D(E_F): 2.023 states/eV/atom
Raw formation energy: 0.87 eV/atom
Total magnetic moment: 2.45 μB per formula unit
Relative energy among the computed polymorphs: 2.702 eV/f.u.
Crystal system: cubic
Electronic total energy: -3.543 eV/atom

Record 6
First-principles (PBE) data for a geometry-optimized KRh2F7 structure, as listed in Alexandria via LeMat-Bulk.

The structure in CIF format:
```
data_KRh2F7
_chemical_formula_sum 'K2 Rh4 F14'
_cell_length_a 6.404
_cell_length_b 11.814
_cell_length_c 4.014
_cell_angle_alpha 90.00
_cell_angle_beta 90.00
_cell_angle_gamma 90.00
_space_group_name_H-M_alt 'C m m m'
_space_group_IT_number 65
_space_group_name_Hall '-C 2 2'
loop_
_atom_site_label
_atom_site_type_symbol
_atom_site_fract_x
_atom_site_fract_y
_atom_site_fract_z
_atom_site_occupancy
K1 K 0.000 0.000 0.000 1
Rh1 Rh 0.000 0.328 0.500 1
F1 F 0.000 0.304 0.000 1
F2 F 0.000 0.500 0.500 1
F3 F 0.193 0.152 0.500 1
```

Properties
D(E_F): 0.634 states/eV/atom
Raw formation energy: -1.64 eV/atom
Total magnetic moment: 0.00 μB per formula unit
Crystal system: orthorhombic
Electronic total energy: -4.529 eV/atom

What is the formula in the sixth record?
KRh2F7

What is the formula in the second record?
K2RhF6